No. 1
Sc2GaPbS: optimized geometry, GGA-PBE.

Unit cell a=4.8326 b=5.4395 c=4.8326 alpha=90.00 beta=90.00 gamma=90.00
Closest atoms and distances in Å follow each position.
Positions (direct):
Pb 0.0000 0.5000 0.0000  2 S 2.72
Ga 0.5000 0.5000 0.5000  4 Pb 3.42, 8 Sc 3.64
Sc 0.0000 0.0000 0.5000  2 S 2.42
S 0.0000 0.0000 0.0000  4 Sc 2.42
Sc 0.5000 0.0000 0.0000  2 S 2.42

Computed properties:
DOS at the Fermi energy	4.01	states/eV per cell
ΔE_f (raw)	-0.35	eV/atom
E_tot	-5.057	eV/atom
ρ	5.214	g/cm3


No. 2
Pm3PuS6: optimized geometry, GGA-PBE.

Unit cell a=4.0644 b=11.2725 c=11.4960 alpha=108.08 beta=90.00 gamma=90.00
Closest atoms and distances in Å follow each position.
Positions (direct):
Pm 0.2500 0.3191 0.4950  7 S 2.75-3.04
Pu 0.2500 0.9554 0.3168  8 S 2.84-3.13
S 0.2500 0.5229 0.3876  4 Pm 2.75-2.93
S 0.7500 0.4029 0.0688  4 Pm 2.78-2.82
Pm 0.2500 0.5728 0.1685  6 S 2.75-2.86
S 0.2500 0.5971 0.9312  4 Pm 2.78-2.82
Pm 0.7500 0.4272 0.8315  6 S 2.75-2.86
S 0.7500 0.9176 0.1016  3 Pm 2.81-2.86, 2 Pu 3.13
S 0.2500 0.8902 0.5412  3 Pu 2.84-2.89, 2 Pm 3.04
Pm 0.2500 0.8400 0.9183  6 S 2.75-2.86
S 0.2500 0.1866 0.2493  3 Pm 2.75, 1 Pu 2.94
S 0.7500 0.8134 0.7507  3 Pm 2.75, 1 Pu 2.94
S 0.7500 0.1098 0.4588  3 Pu 2.84-2.89, 2 Pm 3.04
Pm 0.7500 0.6809 0.5050  7 S 2.75-3.04
Pm 0.7500 0.1600 0.0817  6 S 2.75-2.86
S 0.7500 0.4771 0.6124  4 Pm 2.75-2.93
S 0.7500 0.7507 0.2799  3 Pm 2.86-2.93, 2 Pu 3.00, 1 S 3.18
S 0.2500 0.2493 0.7201  3 Pm 2.86-2.93, 2 Pu 3.00, 1 S 3.18
S 0.2500 0.0824 0.8984  3 Pm 2.81-2.86, 2 Pu 3.13
Pu 0.7500 0.0446 0.6832  8 S 2.84-3.13

Computed properties:
DOS at the Fermi energy	22.53	states/eV per cell
ΔE_f (raw)	-1.92	eV/atom
E_tot	-7.258	eV/atom
ρ	5.780	g/cm3


No. 3
NbTlRe2C: optimized geometry, GGA-PBE.

Unit cell a=4.7529 b=5.4391 c=4.7529 alpha=90.00 beta=90.00 gamma=90.00
Closest atoms and distances in Å follow each position.
Positions (direct):
Nb 0.0000 0.0000 0.0000  4 Re 2.38
C 0.5000 0.5000 0.5000  4 Tl 3.36, 8 Re 3.61
Re 0.0000 0.0000 0.5000  2 Nb 2.38
Re 0.5000 0.0000 0.0000  2 Nb 2.38
Tl 0.0000 0.5000 0.0000  2 Nb 2.72

Computed properties:
DOS at the Fermi energy	7.53	states/eV per cell
E_tot	-6.041	eV/atom
formation energy from the elements	3.27	eV/atom
ρ	9.213	g/cm3


Repeat the first record exactly.
Sc2GaPbS: optimized geometry, GGA-PBE.

Unit cell a=4.8326 b=5.4395 c=4.8326 alpha=90.00 beta=90.00 gamma=90.00
Closest atoms and distances in Å follow each position.
Positions (direct):
Pb 0.0000 0.5000 0.0000  2 S 2.72
Ga 0.5000 0.5000 0.5000  4 Pb 3.42, 8 Sc 3.64
Sc 0.0000 0.0000 0.5000  2 S 2.42
S 0.0000 0.0000 0.0000  4 Sc 2.42
Sc 0.5000 0.0000 0.0000  2 S 2.42

Computed properties:
DOS at the Fermi energy	4.01	states/eV per cell
ΔE_f (raw)	-0.35	eV/atom
E_tot	-5.057	eV/atom
ρ	5.214	g/cm3